First-principles (PBE) data for a relaxed HoTm4Os2 crystal, as listed in Alexandria via LeMat-Bulk.

The calculation puts the density of states at the Fermi level at 0.824 states/eV per atom. Its total magnetization is 0.00 μB/atom. The energy comes out at -6.65 eV/atom.

It has space group P2_1/m (No. 11), with a = 7.7055 Å, b = 6.1825 Å, c = 7.8557 Å, α = 90.00°, β = 112.14° and γ = 90.00°. Symmetry generates all atoms from Ho at (0.0257, 0.2500, 0.1597), Tm at (0.2394, 0.5013, 0.5803), Tm at (0.3279, 0.7500, 0.2518), Tm at (0.3811, 0.2500, 0.0195), Os at (0.0263, 0.2500, 0.7448) and Os at (0.4152, 0.2500, 0.3758).


First-principles (PBE) data for a relaxed HoTm2Os crystal, as listed in Alexandria via LeMat-Bulk.

The calculation puts the density of states at the Fermi level at 0.786 states/eV per atom. Its total magnetization is 0.00 μB/atom. The energy comes out at -6.49 eV/atom.

It has space group Pnma (No. 62), with a = 7.3698 Å, b = 8.9024 Å, c = 6.2397 Å, α = 90.00°, β = 90.00° and γ = 90.00°. Symmetry generates all atoms from Ho at (0.0381, 0.2500, 0.1262), Tm at (0.1743, 0.0622, 0.6650) and Os at (0.1180, 0.7500, 0.4589).


First-principles (PBE) data for a relaxed Ho2TmOs crystal, as listed in Alexandria via LeMat-Bulk.

The calculation puts the density of states at the Fermi level at 0.698 states/eV per atom. Its total magnetization is 0.00 μB/atom. The energy comes out at -6.48 eV/atom.

It has space group Cmcm (No. 63), with a = 3.9729 Å, b = 11.6967 Å, c = 8.9165 Å, α = 90.00°, β = 90.00° and γ = 90.00°. Symmetry generates all atoms from Ho at (0.0000, 0.1438, 0.0651), Tm at (0.0000, 0.4255, 0.2500) and Os at (0.0000, 0.2410, 0.7500).


First-principles (PBE) data for a relaxed HoTm2Os crystal, as listed in Alexandria via LeMat-Bulk.

The calculation puts the density of states at the Fermi level at 0.825 states/eV per atom. Its total magnetization is 0.00 μB/atom. The energy comes out at -6.47 eV/atom.

It has space group Cmcm (No. 63), with a = 3.9567 Å, b = 11.7199 Å, c = 8.8652 Å, α = 90.00°, β = 90.00° and γ = 90.00°. Symmetry generates all atoms from Ho at (0.0000, 0.0734, 0.2500), Tm at (0.0000, 0.3545, 0.0650) and Os at (0.0000, 0.2578, 0.7500).


First-principles (PBE) data for a relaxed HoTmOs crystal, as listed in Alexandria via LeMat-Bulk.

The calculation puts the density of states at the Fermi level at 0.713 states/eV per atom. Its total magnetization is 0.00 μB/atom. The energy comes out at -6.70 eV/atom.

It has space group P3_212 (No. 153), with a = 5.3777 Å, b = 5.3777 Å, c = 7.9382 Å, α = 90.00°, β = 90.00° and γ = 120.00°. Symmetry generates all atoms from Ho at (0.1772, 0.3544, 0.3333), Tm at (0.3644, 0.1822, 0.0000) and Os at (0.0043, 0.5021, 0.0000).


First-principles (PBE) data for a relaxed Ho2TmOs crystal, as listed in Alexandria via LeMat-Bulk.

The calculation puts the density of states at the Fermi level at 0.677 states/eV per atom. Its total magnetization is 0.00 μB/atom. The energy comes out at -6.50 eV/atom.

It has space group Pnma (No. 62), with a = 7.3545 Å, b = 8.9879 Å, c = 6.2703 Å, α = 90.00°, β = 90.00° and γ = 90.00°. Symmetry generates all atoms from Ho at (0.1748, 0.0622, 0.1684), Tm at (0.0393, 0.2500, 0.6292) and Os at (0.1173, 0.7500, 0.9639).


First-principles (PBE) data for a relaxed Ho3U2Os4 crystal, as listed in Alexandria via LeMat-Bulk.

The calculation puts the density of states at the Fermi level at 1.142 states/eV per atom. Its total magnetization is 0.15 μB/atom. The energy comes out at -9.23 eV/atom.

It has space group C2/m (No. 12), with a = 10.7106 Å, b = 4.3077 Å, c = 8.7919 Å, α = 90.00°, β = 100.68° and γ = 90.00°. Symmetry generates all atoms from Ho at (0.0000, 0.0000, 0.0000), Ho at (0.1264, 0.5000, 0.3855), U at (0.1740, 0.5000, 0.7768), Os at (0.0839, 0.0000, 0.6299) and Os at (0.2168, 0.5000, 0.0923).


First-principles (PBE) data for a relaxed HoUOs2 crystal, as listed in Alexandria via LeMat-Bulk.

The calculation puts the density of states at the Fermi level at 1.900 states/eV per atom. Its total magnetization is 0.37 μB/atom. The energy comes out at -9.65 eV/atom.

It has space group Fm-3m (No. 225), with a = 6.7952 Å, b = 6.7952 Å, c = 6.7952 Å, α = 90.00°, β = 90.00° and γ = 90.00°. Symmetry generates all atoms from Ho at (0.0000, 0.0000, 0.0000), U at (0.0000, 0.0000, 0.5000) and Os at (0.2500, 0.2500, 0.2500).


Q: Which of these has the lowest energy?
A: HoUOs2


Q: What is the formula in the fifth record?
A: HoTmOs